VASP calculation (PBE) on a relaxed EuGa3Ni crystal.

Summary:
formation enthalpy at 0 K = -380 meV/atom

Structure (CIF):
```
data_EuGa3Ni
_chemical_formula_sum 'Eu1 Ga3 Ni1'
_cell_length_a 4.635
_cell_length_b 4.635
_cell_length_c 4.635
_cell_angle_alpha 90.00
_cell_angle_beta 90.00
_cell_angle_gamma 90.00
_space_group_name_H-M_alt 'P 1'
_space_group_IT_number 1
_space_group_name_Hall 'P 1'
loop_
_atom_site_label
_atom_site_fract_x
_atom_site_fract_y
_atom_site_fract_z
Ga1 0.500 0.000 0.000
Ga2 0.000 0.000 0.500
Ga3 0.000 0.500 0.000
Eu1 0.500 0.500 0.500
Ni1 0.000 0.000 0.000
```